Sr2CuS2Cl2 | SCAN | single point on PBEsol structure

## Properties
Crystal system: tetragonal
N(E_F): 0.314 states/eV per atom
E_form (uncorrected): -11.56 eV/f.u.

Lattice parameters (Å, degrees): 8.1142 8.1142 8.1142 146.99 146.99 47.38
Last column: nearest neighbours and their distance in Å.
Element x y z (fractional)
Sr 0.1473 0.1473 0.0000  1 S 2.85, 4 Cl 3.18
Sr 0.8527 0.8527 0.0000  1 S 2.85, 4 Cl 3.18
Cu 0.5000 0.5000 0.0000  4 Cl 2.31, 2 S 2.39
S 0.3391 0.3391 0.0000  1 Cu 2.39
S 0.6609 0.6609 0.0000  1 Cu 2.39
Cl 0.0000 0.5000 0.5000  2 Cu 2.31
Cl 0.5000 0.0000 0.5000  2 Cu 2.31